No. 1
The following is a PBEsol calculation of a geometry-optimized Sc2CuOs structure, from Alexandria.

Properties
DFT total energy ... -31.2 eV/cell
Calculated density ... 8.800 Mg/m³
Fermi-level density of states ... 0.4774 states/eV per atom

Structure (extended XYZ):
```
4
Lattice="4.474 0.000 0.000 0.000 4.474 0.000 0.000 0.000 3.240" Properties=species:S:1:pos:R:3 pbc="T T T"
Sc 0.000 2.237 0.000
Sc 2.237 0.000 0.000
Cu 0.000 0.000 1.620
Os 2.237 2.237 1.620
```

No. 2
The following is a PBEsol calculation of a geometry-optimized YTi4Cu3O12 structure, from Alexandria.

Properties
Calculated density ... 5.479 Mg/m³
Fermi-level density of states ... 0.2226 states/eV per atom
Formation energy without anion corrections ... -234 kJ per mole of atoms

Structure (extended XYZ):
```
20
Lattice="-3.690 3.690 3.690 3.690 -3.690 3.690 3.690 3.690 -3.690" Properties=species:S:1:pos:R:3 pbc="T T T"
Y 0.000 0.000 0.000
Ti 1.845 1.845 -1.845
Ti 1.845 -1.845 1.845
Ti -1.845 1.845 1.845
Ti 1.845 1.845 1.845
Cu 3.690 0.000 0.000
Cu 0.000 3.690 0.000
Cu 0.000 0.000 3.690
O 3.690 -1.500 2.402
O 2.190 1.288 0.000
O 5.190 1.288 0.000
O 2.402 3.690 -1.500
O 1.288 0.000 2.190
O 0.000 2.190 1.288
O 3.690 1.500 2.402
O 2.402 3.690 1.500
O 1.288 0.000 5.190
O -1.500 2.402 3.690
O 1.500 2.402 3.690
O 0.000 5.190 1.288
```

No. 3
The following is a PBEsol calculation of a geometry-optimized NbSb3Ir structure, from Alexandria.

Properties
Calculated density ... 7.802 Mg/m³
Fermi-level density of states ... 1.1674 states/eV per atom
Formation energy without anion corrections ... 123 kJ per mole of atoms

Structure (extended XYZ):
```
5
Lattice="5.173 0.000 0.000 0.000 5.173 0.000 0.000 0.000 5.173" Properties=species:S:1:pos:R:3 pbc="T T T"
Nb 0.000 0.000 0.000
Sb 0.000 0.000 2.587
Sb 0.000 2.587 0.000
Sb 2.587 0.000 0.000
Ir 2.587 2.587 2.587
```

No. 4
The following is a PBEsol calculation of a geometry-optimized ReOsPt2 structure, from Alexandria.

Properties
DFT total energy ... -37.9 eV/cell
Calculated density ... 21.406 Mg/m³
Fermi-level density of states ... 1.2511 states/eV per atom

Structure (extended XYZ):
```
4
Lattice="4.714 0.000 0.000 0.000 4.714 0.000 0.000 0.000 2.676" Properties=species:S:1:pos:R:3 pbc="T T T"
Re 0.000 0.000 0.000
Os 2.357 2.357 0.000
Pt 0.000 2.357 1.338
Pt 2.357 0.000 1.338
```

No. 5
The following is a PBEsol calculation of a geometry-optimized CrTc2Pb structure, from Alexandria.

Properties
DFT total energy ... -34.3 eV/cell
Calculated density ... 11.782 Mg/m³
Fermi-level density of states ... 1.1493 states/eV per atom

Structure (extended XYZ):
```
4
Lattice="1.468 0.848 8.594 -1.468 0.848 8.594 0.000 -1.695 8.594" Properties=species:S:1:pos:R:3 pbc="T T T"
Cr 0.000 0.000 0.000
Tc 0.000 0.000 6.802
Tc 0.000 0.000 18.980
Pb 0.000 0.000 12.891
```

No. 6
The following is a PBEsol calculation of a geometry-optimized AlZn2Os structure, from Alexandria.

Properties
DFT total energy ... -20.1 eV/cell
Calculated density ... 10.703 Mg/m³
Fermi-level density of states ... 0.1328 states/eV per atom

Structure (extended XYZ):
```
4
Lattice="-1.598 1.986 4.252 1.598 -1.986 4.252 1.598 1.986 -4.252" Properties=species:S:1:pos:R:3 pbc="T T T"
Al 0.000 0.000 0.000
Zn 1.598 0.000 2.135
Zn 0.000 1.986 2.117
Os 0.000 0.000 4.252
```

No. 7
The following is a PBEsol calculation of a geometry-optimized Zr2Cd3 structure, from Alexandria.

Properties
DFT total energy ... -22.0 eV/cell
Calculated density ... 8.340 Mg/m³
Fermi-level density of states ... 0.5420 states/eV per atom

Structure (extended XYZ):
```
5
Lattice="1.515 0.875 13.016 -1.515 0.875 13.016 0.000 -1.749 13.016" Properties=species:S:1:pos:R:3 pbc="T T T"
Zr 0.000 0.000 3.882
Zr 0.000 0.000 35.166
Cd 0.000 0.000 11.745
Cd 0.000 0.000 19.524
Cd 0.000 0.000 27.303
```

No. 8
The following is a PBEsol calculation of a geometry-optimized Bi3AsBr structure, from Alexandria.

Properties
Calculated density ... 7.687 Mg/m³
Fermi-level density of states ... 0.8797 states/eV per atom
Formation energy without anion corrections ... 44 kJ per mole of atoms

Structure (extended XYZ):
```
5
Lattice="5.527 0.000 0.000 0.000 5.527 0.000 0.000 0.000 5.527" Properties=species:S:1:pos:R:3 pbc="T T T"
Bi 0.000 0.000 2.764
Bi 0.000 2.764 0.000
Bi 2.764 0.000 0.000
As 0.000 0.000 0.000
Br 2.764 2.764 2.764
```